No. 1
{"formula": "SrPt5", "functional": "GGA-PBE", "state": "optimized geometry", "cell": [[1.4358, -8.4798, 0.0000], [1.4358, 8.4798, 0.0000], [0.0000, 0.0000, 4.5626]], "species": ["Pt", "Pt", "Pt", "Pt", "Pt", "Sr"], "fractional_positions": [[0.9731, 0.0269, 0.0000], [0.6970, 0.3030, 0.0000], [0.4403, 0.5597, 0.5000], [0.7841, 0.2159, 0.5000], [0.3333, 0.6667, 0.0000], [0.1056, 0.8944, 0.5000]], "polymorph_energy_ev_per_atom": 0.4314, "spacegroup": "Amm2", "formation_enthalpy_0k_ev_per_atom": -0.114, "m_tot_mub_per_atom": 0.00}



No. 2
{"formula": "CaGa2NiAg", "functional": "GGA-PBE", "state": "optimized geometry", "cell": [[4.8249, 0.0000, 0.0000], [0.0000, 5.5315, 0.0000], [0.0000, 0.0000, 4.8249]], "species": ["Ca", "Ga", "Ag", "Ni", "Ga"], "fractional_positions": [[0.0000, 0.5000, 0.0000], [0.5000, 0.0000, 0.0000], [0.0000, 0.0000, 0.0000], [0.5000, 0.5000, 0.5000], [0.0000, 0.0000, 0.5000]], "polymorph_energy_ev_per_atom": 0.7564, "spacegroup": "P4/mmm", "formation_enthalpy_0k_ev_per_atom": 0.520, "m_tot_mub_per_atom": 0.01}



No. 3
{"formula": "Fe2Ni3Ge3", "functional": "GGA-PBE", "state": "optimized geometry", "cell": [[-3.0060, 3.4819, 1.5774], [-0.9093, 2.1707, -6.5244], [-4.2008, -4.8335, 2.6640]], "species": ["Fe", "Ge", "Ni", "Ge", "Ge", "Ge", "Fe", "Ge", "Ni", "Ni", "Ni", "Ge", "Ni", "Fe", "Ni", "Fe"], "fractional_positions": [[0.0000, 0.3333, 0.6667], [0.2500, 0.6175, 0.6175], [0.2500, 0.2630, 0.2630], [0.7500, 0.6175, 0.0000], [0.2500, 0.3825, 0.0000], [0.2500, 0.0000, 0.3825], [0.5000, 0.6667, 0.3333], [0.7500, 0.3825, 0.3825], [0.7500, 0.2630, 0.0000], [0.7500, 0.0000, 0.2630], [0.2500, 0.0000, 0.7370], [0.7500, 0.0000, 0.6175], [0.2500, 0.7370, 0.0000], [0.5000, 0.3333, 0.6667], [0.7500, 0.7370, 0.7370], [0.0000, 0.6667, 0.3333]], "spacegroup": "P6_3/mcm", "formation_enthalpy_0k_ev_per_atom": -0.161, "m_tot_mub_per_atom": 0.36}



No. 4
{"formula": "TaMo3C", "functional": "GGA-PBE", "state": "optimized geometry", "cell": [[-2.9650, 1.8721, 3.2179], [-1.5798, -4.3577, 1.0796], [3.3711, -0.3955, 3.3363]], "species": ["Mo", "Mo", "Ta", "Mo", "C"], "fractional_positions": [[0.0000, 0.5000, 0.0000], [0.5000, 0.0000, 0.0000], [0.0000, 0.0000, 0.0000], [0.0000, 0.0000, 0.5000], [0.5000, 0.5000, 0.5000]], "polymorph_energy_ev_per_atom": 3.1050, "spacegroup": "Pm-3m", "formation_enthalpy_0k_ev_per_atom": 3.161, "m_tot_mub_per_atom": 0.00}



No. 5
{"formula": "Li2Ge2Os", "functional": "GGA-PBE", "state": "optimized geometry", "cell": [[-5.5703, 2.9195, 1.7631], [-3.3631, -4.1404, -3.7692], [-0.2974, -2.1616, 2.6398]], "species": ["Li", "Li", "Ge", "Ge", "Os", "Ge", "Li", "Li", "Os", "Ge"], "fractional_positions": [[0.6619, 0.8381, 0.5000], [0.1619, 0.6619, 0.5000], [0.3554, 0.8554, 0.0000], [0.8554, 0.6446, 0.0000], [0.5000, 0.5000, 0.0000], [0.6446, 0.1446, 0.0000], [0.3381, 0.1619, 0.5000], [0.8381, 0.3381, 0.5000], [0.0000, 0.0000, 0.0000], [0.1446, 0.3554, 0.0000]], "polymorph_energy_ev_per_atom": 0.0000, "spacegroup": "P4/mbm", "formation_enthalpy_0k_ev_per_atom": -0.066, "m_tot_mub_per_atom": 0.00}



No. 6
{"formula": "Li2TmPdO4", "functional": "GGA-PBE", "state": "optimized geometry", "cell": [[-0.5949, -0.2037, 3.1543], [-5.2387, -0.5108, -1.0211], [2.3182, -4.9305, 0.1188]], "species": ["Li", "Pd", "O", "O", "O", "Tm", "Li", "O"], "fractional_positions": [[0.0000, 0.5000, 0.5000], [0.0000, 0.0000, 0.0000], [0.0000, 0.2764, 0.7398], [0.5000, 0.7868, 0.7737], [0.5000, 0.2132, 0.2263], [0.5000, 0.5000, 0.0000], [0.5000, 0.0000, 0.5000], [0.0000, 0.7236, 0.2602]], "spacegroup": "P2/m", "e_form_raw_ev_per_atom": -1.904, "m_tot_mub_per_atom": 0.12}